This record from the Alexandria database describes a relaxed structure of Rb2Ta2AgO7. The functional is GGA-PBE.

```
data_Rb2Ta2AgO7
_chemical_formula_sum 'Rb2 Ta2 Ag1 O7'
_symmetry_space_group_name_H-M 'P 1'
_symmetry_Int_Tables_number 1
_symmetry_space_group_name_Hall 'P 1'
_cell_length_a 4.0239
_cell_length_b 4.0239
_cell_length_c 11.8057
_cell_angle_alpha 80.17
_cell_angle_beta 80.17
_cell_angle_gamma 90.00
loop_
_atom_site_label
_atom_site_fract_x
_atom_site_fract_y
_atom_site_fract_z
_atom_site_occupancy
Rb1 0.8084 0.8084 0.3830 1
Rb2 0.1916 0.1916 0.6170 1
Ta1 0.5915 0.5915 0.8167 1
Ta2 0.4085 0.4085 0.1833 1
Ag1 0.0000 0.0000 0.0000 1
O1 0.5000 0.5000 0.0000 1
O2 0.3259 0.3259 0.3480 1
O3 0.6741 0.6741 0.6520 1
O4 0.9137 0.4137 0.1726 1
O5 0.4137 0.9137 0.1726 1
O6 0.5863 0.0863 0.8274 1
O7 0.0863 0.5863 0.8274 1
```

Computed properties:
The space-group type is I4/mmm, No. 139. Its energy relative to the elements, uncorrected is -2.069 eV/atom. The value obtained for the calculated total energy is -7.34 eV per atom.